1.
Compound: Th2Ga3CoPt4
Source: the Alexandria database
Functional: PBE
Structure: optimized geometry

```
data_Th2Ga3CoPt4
_cell_length_a 4.162
_cell_length_b 4.162
_cell_length_c 10.912
_cell_angle_alpha 90.00
_cell_angle_beta 90.00
_cell_angle_gamma 90.00
_symmetry_space_group_name_H-M 'P -4 m 2'
_symmetry_Int_Tables_number 115
loop_
_symmetry_equiv_pos_as_xyz
'x,y,z'
'y,-x,-z'
'-x,-y,z'
'-y,x,-z'
'-x,y,z'
'-y,-x,-z'
'x,-y,z'
'y,x,-z'
loop_
_atom_site_label
_atom_site_type_symbol
_atom_site_fract_x
_atom_site_fract_y
_atom_site_fract_z
Th1 Th 0.000 0.500 0.240
Ga1 Ga 0.000 0.000 0.000
Ga2 Ga 0.000 0.500 0.633
Co1 Co 0.500 0.500 0.000
Pt1 Pt 0.000 0.000 0.500
Pt2 Pt 0.000 0.500 0.862
Pt3 Pt 0.500 0.500 0.500
```

Calculated values
Total magnetization in Bohr magnetons per cell: 1.268
Crystal system: tetragonal
Energy in eV/cell: -63.5

---

2.
Compound: Ba3HgAs2O8
Source: the Alexandria database
Functional: PBE
Structure: optimized geometry

```
data_Ba3HgAs2O8
_cell_length_a 5.8483
_cell_length_b 5.8483
_cell_length_c 10.0631
_cell_angle_alpha 90.00
_cell_angle_beta 90.00
_cell_angle_gamma 120.00
_symmetry_space_group_name_H-M 'P -3 m 1'
_symmetry_Int_Tables_number 164
_symmetry_space_group_name_Hall '-P 3 2"'
loop_
_atom_site_label
_atom_site_type_symbol
_atom_site_fract_x
_atom_site_fract_y
_atom_site_fract_z
Ba1 Ba 0.0000 0.0000 0.0000
Ba2 Ba 0.3333 0.6667 0.7406
Hg1 Hg 0.0000 0.0000 0.5000
As1 As 0.3333 0.6667 0.1592
O1 O 0.1734 0.3469 0.2176
O2 O 0.3333 0.6667 0.9873
```

Calculated values
Total magnetization in Bohr magnetons per cell: 0.000
Crystal system: trigonal
Energy in eV/cell: -83.0
ΔE_f (raw) in eV per formula unit: -27.94

---

3.
Compound: Sr2Al3PbAu4
Source: the Alexandria database
Functional: PBE
Structure: optimized geometry

```
data_Sr2Al3PbAu4
_cell_length_a 4.589
_cell_length_b 4.589
_cell_length_c 11.060
_cell_angle_alpha 90.00
_cell_angle_beta 90.00
_cell_angle_gamma 90.00
_symmetry_space_group_name_H-M 'P -4 m 2'
_symmetry_Int_Tables_number 115
loop_
_symmetry_equiv_pos_as_xyz
'x,y,z'
'y,-x,-z'
'-x,-y,z'
'-y,x,-z'
'-x,y,z'
'-y,-x,-z'
'x,-y,z'
'y,x,-z'
loop_
_atom_site_label
_atom_site_type_symbol
_atom_site_fract_x
_atom_site_fract_y
_atom_site_fract_z
Sr1 Sr 0.000 0.500 0.239
Al1 Al 0.000 0.500 0.888
Al2 Al 0.500 0.500 0.500
Pb1 Pb 0.000 0.000 0.500
Au1 Au 0.000 0.000 0.000
Au2 Au 0.000 0.500 0.659
Au3 Au 0.500 0.500 0.000
```

Calculated values
Total magnetization in Bohr magnetons per cell: 0.000
Crystal system: tetragonal
Energy in eV/cell: -37.0

---

4.
Compound: EuThZn4
Source: the Alexandria database
Functional: PBE
Structure: optimized geometry

```
data_EuThZn4
_cell_length_a 7.900
_cell_length_b 7.900
_cell_length_c 7.900
_cell_angle_alpha 90.00
_cell_angle_beta 90.00
_cell_angle_gamma 90.00
_symmetry_space_group_name_H-M 'F -4 3 m'
_symmetry_Int_Tables_number 216
_symmetry_space_group_name_Hall 'F -4 2 3'
loop_
_atom_site_label
_atom_site_type_symbol
_atom_site_fract_x
_atom_site_fract_y
_atom_site_fract_z
Eu1 Eu 0.000 0.000 0.000
Th1 Th 0.250 0.250 0.750
Zn1 Zn 0.125 0.125 0.375
```

Calculated values
Total magnetization in Bohr magnetons per cell: 28.517
Crystal system: cubic
Energy in eV/cell: -96.6

---

5.
Compound: La3Pr4Sm
Source: the Alexandria database
Functional: PBE
Structure: optimized geometry

```
data_La3Pr4Sm
_cell_length_a 10.540
_cell_length_b 7.396
_cell_length_c 7.414
_cell_angle_alpha 90.00
_cell_angle_beta 90.00
_cell_angle_gamma 90.00
_symmetry_space_group_name_H-M 'P m n 21'
_symmetry_Int_Tables_number 31
loop_
_symmetry_equiv_pos_as_xyz
'x,y,z'
'-x+1/2,-y,z+1/2'
'-x,y,z'
'x+1/2,-y,z+1/2'
loop_
_atom_site_label
_atom_site_type_symbol
_atom_site_fract_x
_atom_site_fract_y
_atom_site_fract_z
La1 La 0.000 0.249 0.000
La2 La 0.250 0.500 0.249
Pr1 Pr 0.000 0.249 0.500
Pr2 Pr 0.000 0.750 0.498
Pr3 Pr 0.250 0.000 0.249
Sm1 Sm 0.000 0.750 0.998
```

Calculated values
Total magnetization in Bohr magnetons per cell: 0.000
Crystal system: orthorhombic
Energy in eV/cell: -77.1

---

6.
Compound: CdN2O2
Source: the Alexandria database
Functional: PBE
Structure: optimized geometry

```
data_CdN2O2
_cell_length_a 2.808
_cell_length_b 2.808
_cell_length_c 12.585
_cell_angle_alpha 90.00
_cell_angle_beta 90.00
_cell_angle_gamma 90.00
_symmetry_space_group_name_H-M 'I 4/m m m'
_symmetry_Int_Tables_number 139
_symmetry_space_group_name_Hall '-I 4 2'
loop_
_atom_site_label
_atom_site_type_symbol
_atom_site_fract_x
_atom_site_fract_y
_atom_site_fract_z
Cd1 Cd 0.000 0.000 0.000
N1 N 0.000 0.500 0.250
O1 O 0.000 0.000 0.395
```

Calculated values
Total magnetization in Bohr magnetons per cell: 0.000
ΔE to the lowest computed polymorph in eV per atom: 0.680
Crystal system: tetragonal
Energy in eV/cell: -37.6
ΔE_f (raw) in eV per formula unit: 8.66

---

7.
Compound: UBeIr
Source: the Alexandria database
Functional: PBE
Structure: optimized geometry

```
data_UBeIr
_cell_length_a 4.696
_cell_length_b 7.847
_cell_length_c 9.530
_cell_angle_alpha 90.00
_cell_angle_beta 90.00
_cell_angle_gamma 90.00
_symmetry_space_group_name_H-M 'F m m m'
_symmetry_Int_Tables_number 69
_symmetry_space_group_name_Hall '-F 2 2'
loop_
_atom_site_label
_atom_site_type_symbol
_atom_site_fract_x
_atom_site_fract_y
_atom_site_fract_z
U1 U 0.000 0.161 0.000
Be1 Be 0.250 0.250 0.250
Ir1 Ir 0.000 0.000 0.345
```

Calculated values
Total magnetization in Bohr magnetons per cell: 3.218
ΔE to the lowest computed polymorph in eV per atom: 0.000
Crystal system: orthorhombic
Energy in eV/cell: -200.1

---

8.
Compound: Cs2BaNdBr6
Source: the Alexandria database
Functional: PBE
Structure: optimized geometry

```
data_Cs2BaNdBr6
_cell_length_a 8.264
_cell_length_b 12.215
_cell_length_c 9.085
_cell_angle_alpha 90.00
_cell_angle_beta 90.00
_cell_angle_gamma 90.00
_symmetry_space_group_name_H-M 'P m m n'
_symmetry_Int_Tables_number 59
loop_
_symmetry_equiv_pos_as_xyz
'x,y,z'
'-x,-y,-z'
'-x+1/2,-y+1/2,z'
'x+1/2,y+1/2,-z'
'x+1/2,-y,-z'
'-x+1/2,y,z'
'-x,y+1/2,-z'
'x,-y+1/2,z'
loop_
_atom_site_label
_atom_site_type_symbol
_atom_site_fract_x
_atom_site_fract_y
_atom_site_fract_z
Cs1 Cs 0.250 0.034 0.201
Ba1 Ba 0.250 0.250 0.719
Nd1 Nd 0.250 0.750 0.777
Br1 Br 0.004 0.250 0.450
Br2 Br 0.007 0.750 0.015
Br3 Br 0.250 0.508 0.779
```

Calculated values
Total magnetization in Bohr magnetons per cell: 1.858
Crystal system: orthorhombic
Energy in eV/cell: -72.9
ΔE_f (raw) in eV per formula unit: -17.99

---

9.
Compound: NaInSbTe2
Source: the Alexandria database
Functional: PBE
Structure: optimized geometry

```
data_NaInSbTe2
_cell_length_a 5.863
_cell_length_b 5.863
_cell_length_c 5.598
_cell_angle_alpha 90.00
_cell_angle_beta 90.00
_cell_angle_gamma 90.00
_symmetry_space_group_name_H-M 'P 4/m m m'
_symmetry_Int_Tables_number 123
_symmetry_space_group_name_Hall '-P 4 2'
loop_
_atom_site_label
_atom_site_type_symbol
_atom_site_fract_x
_atom_site_fract_y
_atom_site_fract_z
Na1 Na 0.000 0.000 0.000
In1 In 0.500 0.500 0.500
Sb1 Sb 0.500 0.500 0.000
Te1 Te 0.000 0.500 0.500
```

Calculated values
Total magnetization in Bohr magnetons per cell: 0.592
ΔE to the lowest computed polymorph in eV per atom: 0.000
Crystal system: tetragonal
Energy in eV/cell: -13.6
ΔE_f (raw) in eV per formula unit: 0.90

---

10.
Compound: CeZr2RuN4
Source: the Alexandria database
Functional: PBE
Structure: optimized geometry

```
data_CeZr2RuN4
_cell_length_a 3.250
_cell_length_b 11.381
_cell_length_c 11.303
_cell_angle_alpha 90.00
_cell_angle_beta 90.00
_cell_angle_gamma 90.00
_symmetry_space_group_name_H-M 'C m c m'
_symmetry_Int_Tables_number 63
_symmetry_space_group_name_Hall '-C 2c 2'
loop_
_atom_site_label
_atom_site_type_symbol
_atom_site_fract_x
_atom_site_fract_y
_atom_site_fract_z
Ce1 Ce 0.000 0.111 0.250
Zr1 Zr 0.000 0.370 0.050
Ru1 Ru 0.000 0.150 0.750
N1 N 0.000 0.000 0.000
N2 N 0.000 0.274 0.616
N3 N 0.000 0.458 0.250
```

Calculated values
Total magnetization in Bohr magnetons per cell: 0.000
Crystal system: orthorhombic
Energy in eV/cell: -299.7
ΔE_f (raw) in eV per formula unit: -9.32